(1)
Density functional theory data (PBE-GGA) for a geometry-optimized PaVBi structure.

Results
SG = P3m1 (156)
Calculated formation energy = 0.503 eV/atom
Relative energy among the computed polymorphs = 0.315 eV/atom

Structure (extended XYZ):
```
3
Lattice="4.112 0.000 0.000 -2.056 3.561 0.000 0.000 0.000 4.860" Properties=species:S:1:pos:R:3 pbc="T T T"
Bi 0.000 0.000 4.575
V 0.000 2.374 2.981
Pa 2.056 1.187 2.165
```

(2)
Density functional theory data (PBE-GGA) for a geometry-optimized Pa2VBi structure.

Results
SG = P4/mmm (123)
Calculated formation energy = 0.127 eV/atom
Relative energy among the computed polymorphs = 0.000 eV/atom

Structure (extended XYZ):
```
4
Lattice="-1.126 4.195 1.999 -2.981 -2.000 2.519 3.046 -0.653 3.086" Properties=species:S:1:pos:R:3 pbc="T T T"
Pa -1.490 -1.000 1.259
Pa 1.523 -0.327 1.543
V -0.563 2.097 0.999
Bi -0.530 0.771 3.802
```

(3)
Density functional theory data (PBE-GGA) for a geometry-optimized PaVBi structure.

Results
SG = I4mm (107)
Calculated formation energy = 0.188 eV/atom
Relative energy among the computed polymorphs = 0.000 eV/atom

Structure (extended XYZ):
```
3
Lattice="3.401 0.000 0.000 0.000 3.401 0.000 -1.701 -1.701 5.871" Properties=species:S:1:pos:R:3 pbc="T T T"
V 1.701 1.701 1.903
Bi 0.000 0.000 0.305
Pa 0.000 0.000 3.663
```

(4)
Density functional theory data (PBE-GGA) for a geometry-optimized PaBi2W structure.

Results
SG = R-3m (166)
Calculated formation energy = 0.836 eV/atom

Structure (extended XYZ):
```
4
Lattice="-1.662 2.370 1.396 -3.124 -0.392 0.644 1.019 -3.488 10.836" Properties=species:S:1:pos:R:3 pbc="T T T"
Bi 0.359 -2.440 8.271
Bi -4.126 0.931 4.605
W 0.000 0.000 0.000
Pa -1.884 -0.755 6.438
```

(5)
Density functional theory data (PBE-GGA) for a geometry-optimized Y3PaBi4 structure.

Results
SG = Cmmm (65)
Calculated formation energy = -0.681 eV/atom

Structure (extended XYZ):
```
8
Lattice="4.472 0.000 0.000 0.000 7.353 -2.503 0.000 -0.058 7.767" Properties=species:S:1:pos:R:3 pbc="T T T"
Y 2.236 3.648 2.632
Y 0.000 3.677 -1.252
Y 0.000 -0.029 3.884
Bi 0.000 1.832 1.322
Bi 0.000 5.463 3.942
Bi 2.236 1.792 5.205
Bi 2.236 5.504 0.059
Pa 2.236 0.000 0.000
```

(6)
Density functional theory data (PBE-GGA) for a geometry-optimized Y5PaBi6 structure.

Results
SG = C2/m (12)
Calculated formation energy = -0.757 eV/atom

Structure (extended XYZ):
```
12
Lattice="-0.927 6.696 -3.812 -5.618 -2.619 4.670 5.166 2.251 5.329" Properties=species:S:1:pos:R:3 pbc="T T T"
Y -2.492 3.588 -0.982
Y -0.690 3.164 3.094
Y -2.249 0.068 5.912
Y -4.053 0.489 1.840
Y 0.869 6.260 0.275
Bi -0.261 6.296 3.237
Bi 2.255 2.702 4.215
Bi -1.817 3.206 6.050
Bi 0.438 3.122 0.137
Bi -1.118 0.032 2.950
Bi -3.634 3.625 1.972
Pa 0.000 0.000 0.000
```

(7)
Density functional theory data (PBE-GGA) for a geometry-optimized YPaBi2 structure.

Results
SG = R-3m (166)
Calculated formation energy = -0.457 eV/atom
Relative energy among the computed polymorphs = 0.000 eV/atom

Structure (extended XYZ):
```
4
Lattice="-3.091 -1.668 2.750 0.526 -4.074 1.739 2.719 1.022 7.293" Properties=species:S:1:pos:R:3 pbc="T T T"
Y 0.077 -2.360 5.891
Bi 0.104 -3.549 8.818
Bi 0.050 -1.171 2.964
Pa 0.000 0.000 0.000
```

(8)
Density functional theory data (PBE-GGA) for a geometry-optimized Y3Pa5Bi12 structure.

Results
SG = Ia-3d (230)
Calculated formation energy = 0.151 eV/atom

Structure (extended XYZ):
```
80
Lattice="-2.209 -7.327 13.931 -11.666 -4.032 -10.015 13.996 -4.381 -6.130" Properties=species:S:1:pos:R:3 pbc="T T T"
Bi -8.834 -4.699 -8.776
Bi 6.432 -5.761 -8.569
Bi -2.833 -10.942 -5.623
Bi -4.137 -7.229 -5.599
Bi 8.642 -4.892 -3.084
Bi -2.313 -6.117 8.553
Bi -8.521 -10.848 0.870
Bi 4.505 -10.833 -2.474
Bi -6.934 -4.859 -4.168
Bi -2.132 -5.568 4.660
Bi 1.138 -9.419 6.736
Bi 2.434 -9.623 -10.766
Bi 1.182 -5.839 6.766
Bi -6.311 -9.978 6.355
Bi -3.897 -12.573 1.256
Bi 4.039 -12.890 0.420
Bi -5.506 -9.812 -2.964
Bi 4.018 -3.167 -3.470
Bi 6.331 -7.193 -5.288
Bi 0.970 -2.466 -1.725
Bi -4.384 -4.906 0.260
Bi -3.028 -8.456 -0.764
Bi 2.777 -6.147 -9.978
Bi 7.967 -9.461 -1.203
Bi 4.258 -8.510 3.385
Bi -1.212 -6.510 -3.662
Bi 3.149 -7.283 -1.450
Bi -6.210 -8.547 3.074
Bi 8.955 -11.041 6.562
Bi 1.333 -9.229 1.449
Bi 7.055 -10.881 1.955
Bi -1.061 -9.901 -8.979
Bi -1.017 -6.321 -8.949
Bi -2.657 -9.593 7.765
Bi -7.847 -6.279 -1.010
Bi 11.988 -5.696 -4.071
Bi 2.954 -4.797 3.409
Bi 5.974 -9.611 7.936
Bi 5.627 -5.927 0.751
Bi 0.542 -5.423 0.838
Bi -0.849 -13.273 -0.489
Bi 1.784 -6.684 -6.209
Bi -5.853 -6.129 -10.150
Bi -3.918 -2.850 -2.633
Bi -0.421 -10.316 -3.051
Bi -11.867 -10.044 1.857
Bi 2.253 -10.172 -6.874
Bi -1.663 -9.055 3.995
Pa 3.898 -10.157 5.855
Pa -1.995 -4.303 1.954
Pa 6.998 -2.191 -3.065
Pa 2.116 -11.436 -4.168
Pa 1.165 -4.206 -8.073
Pa 9.131 -9.833 3.833
Pa 3.820 -6.082 -4.104
Pa 0.000 0.000 0.000
Pa -6.937 -5.679 1.958
Pa -5.833 -2.016 -5.007
Pa -3.777 -5.582 -8.069
Pa -1.104 -3.663 6.966
Pa -1.152 -3.523 -3.547
Pa -9.010 -5.907 -6.047
Pa 1.273 -12.217 1.333
Pa 8.210 -6.537 -0.625
Pa 0.060 -7.870 -1.107
Pa -8.089 -9.202 -1.588
Pa 5.893 -5.854 3.901
Pa -3.699 -9.658 1.890
Y 3.238 -3.979 -0.068
Y 9.054 -5.757 -6.126
Y -4.282 -7.555 5.927
Y 4.741 -9.377 0.354
Y 0.951 -7.230 3.905
Y -4.621 -6.363 -2.568
Y -3.117 -11.761 -2.146
Y 0.108 -8.010 9.406
Y -8.933 -9.982 3.913
Y 0.013 -7.729 -11.619
Y 4.403 -8.185 -8.140
Y -0.831 -8.509 -6.118
```

(9)
Density functional theory data (PBE-GGA) for a geometry-optimized YPaBi structure.

Results
SG = P4/nmm (129)
Calculated formation energy = -0.128 eV/atom

Structure (extended XYZ):
```
6
Lattice="-3.327 -2.192 1.074 2.152 -3.491 -0.459 2.852 0.471 9.796" Properties=species:S:1:pos:R:3 pbc="T T T"
Bi 2.818 -1.458 5.754
Bi -0.553 -0.913 4.350
Y 1.858 -1.616 2.456
Y 0.407 -0.754 7.647
Pa 3.751 -1.304 8.958
Pa -1.486 -1.067 1.146
```

(10)
Density functional theory data (PBE-GGA) for a geometry-optimized YPa2Bi5 structure.

Results
SG = Pbam (55)
Calculated formation energy = -0.265 eV/atom

Structure (extended XYZ):
```
16
Lattice="-4.152 -1.277 1.201 2.645 -1.384 7.674 -2.909 12.534 3.264" Properties=species:S:1:pos:R:3 pbc="T T T"
Bi 1.678 1.527 7.424
Bi -0.435 8.138 7.144
Bi -3.051 6.226 4.526
Bi 1.323 -0.692 3.837
Bi -1.365 3.646 7.613
Bi -1.682 0.004 2.647
Bi 0.172 3.011 3.793
Bi -1.942 9.623 3.514
Bi -1.455 6.267 1.632
Bi -2.735 9.869 9.491
Y 0.000 0.000 0.000
Y -0.132 5.575 5.469
Pa -1.000 0.756 5.805
Pa -2.742 3.258 2.439
Pa -3.417 9.116 6.334
Pa -1.674 6.615 9.699
```

(11)
Density functional theory data (PBE-GGA) for a geometry-optimized YPaBi2 structure.

Results
SG = P4/mmm (123)
Calculated formation energy = -0.357 eV/atom
Relative energy among the computed polymorphs = 0.100 eV/atom

Structure (extended XYZ):
```
4
Lattice="-1.478 -2.235 2.846 0.048 -4.277 -3.334 5.020 -1.225 1.645" Properties=species:S:1:pos:R:3 pbc="T T T"
Y 1.795 -3.869 0.579
Bi 2.510 -0.613 0.822
Bi 0.024 -2.139 -1.667
Pa -0.739 -1.117 1.423
```

(12)
Density functional theory data (PBE-GGA) for a geometry-optimized YPaBi2 structure.

Results
SG = Fm-3m (225)
Calculated formation energy = -0.343 eV/atom
Relative energy among the computed polymorphs = 0.114 eV/atom

Structure (extended XYZ):
```
4
Lattice="5.455 0.000 0.000 2.727 4.724 0.000 2.727 1.575 4.454" Properties=species:S:1:pos:R:3 pbc="T T T"
Bi 8.182 4.724 3.340
Bi 2.727 1.575 1.113
Pa 0.000 0.000 0.000
Y 5.455 3.149 2.227
```

(13)
Density functional theory data (PBE-GGA) for a geometry-optimized Y2PaBi3 structure.

Results
SG = Fddd (70)
Calculated formation energy = -0.606 eV/atom

Structure (extended XYZ):
```
24
Lattice="-0.509 4.722 -6.152 5.514 -5.323 -1.290 -11.648 -7.841 -1.772" Properties=species:S:1:pos:R:3 pbc="T T T"
Y -4.572 -4.070 -2.746
Y -7.627 -6.790 -4.581
Y -6.387 -10.803 -6.138
Y -3.308 -0.358 -4.911
Y 0.984 -1.652 -4.633
Y -6.345 -3.062 -6.735
Y 2.756 -2.662 -0.645
Y -2.070 -4.372 -6.468
Pa -5.117 -7.084 -8.298
Pa -0.290 -5.375 -2.476
Pa -3.341 -8.090 -4.308
Pa -1.525 -1.358 -0.916
Bi -0.530 0.851 -5.845
Bi 2.486 -4.167 -3.429
Bi -1.794 -2.862 -3.699
Bi -7.343 -5.281 -1.807
Bi -6.074 -1.560 -3.968
Bi -3.579 -1.860 -7.677
Bi 3.750 -0.450 -5.576
Bi 0.704 -3.167 -7.405
Bi -9.120 -4.276 -5.798
Bi -4.851 -5.575 -5.518
Bi 1.255 -0.151 -1.866
Bi -6.120 -9.293 -3.357
```

(14)
Density functional theory data (PBE-GGA) for a geometry-optimized PaZnBi2 structure.

Results
SG = P4/mmm (123)
Calculated formation energy = -0.132 eV/atom
Relative energy among the computed polymorphs = 0.000 eV/atom

Structure (extended XYZ):
```
4
Lattice="4.259 0.000 0.000 0.000 4.906 0.000 0.000 0.000 4.906" Properties=species:S:1:pos:R:3 pbc="T T T"
Pa 2.130 2.453 2.453
Bi 0.000 2.453 0.000
Bi 0.000 0.000 2.453
Zn 2.130 0.000 0.000
```

(15)
Density functional theory data (PBE-GGA) for a geometry-optimized PaZnBi2 structure.

Results
SG = P4/mmm (123)
Calculated formation energy = -0.040 eV/atom
Relative energy among the computed polymorphs = 0.092 eV/atom

Structure (extended XYZ):
```
4
Lattice="4.073 0.000 0.000 0.000 4.073 0.000 0.000 0.000 6.479" Properties=species:S:1:pos:R:3 pbc="T T T"
Pa 2.036 2.036 3.239
Bi 0.000 0.000 4.848
Bi 0.000 0.000 1.631
Zn 2.036 2.036 0.000
```

(16)
Density functional theory data (PBE-GGA) for a geometry-optimized PaZn2Bi structure.

Results
SG = P4/mmm (123)
Calculated formation energy = -0.057 eV/atom
Relative energy among the computed polymorphs = 0.000 eV/atom

Structure (extended XYZ):
```
4
Lattice="-0.392 4.494 0.119 -3.702 -0.257 -2.490 -2.473 -0.314 3.709" Properties=species:S:1:pos:R:3 pbc="T T T"
Bi -0.196 2.247 0.059
Zn -1.236 -0.157 1.854
Zn -1.851 -0.128 -1.245
Pa -3.283 1.962 0.669
```

(17)
Density functional theory data (PBE-GGA) for a geometry-optimized PaZn2Bi structure.

Results
SG = Fm-3m (225)
Calculated formation energy = 0.192 eV/atom
Relative energy among the computed polymorphs = 0.249 eV/atom

Structure (extended XYZ):
```
4
Lattice="5.052 0.000 0.000 2.526 4.376 0.000 2.526 1.459 4.123" Properties=species:S:1:pos:R:3 pbc="T T T"
Pa 5.052 2.917 2.062
Bi 0.000 0.000 0.000
Zn 2.526 1.459 1.032
Zn 7.579 4.376 3.091
```

(18)
Density functional theory data (PBE-GGA) for a geometry-optimized PaZnBi2 structure.

Results
SG = R-3m (166)
Calculated formation energy = 0.116 eV/atom
Relative energy among the computed polymorphs = 0.248 eV/atom

Structure (extended XYZ):
```
4
Lattice="3.327 0.000 0.000 1.664 2.881 0.000 1.664 0.960 12.004" Properties=species:S:1:pos:R:3 pbc="T T T"
Zn 0.000 0.000 0.000
Bi 4.991 2.881 3.164
Bi 1.664 0.960 8.840
Pa 3.327 1.921 6.002
```

(19)
Density functional theory data (PBE-GGA) for a geometry-optimized ZrPaBi2 structure.

Results
SG = Cmcm (63)
Calculated formation energy = -0.185 eV/atom
Relative energy among the computed polymorphs = 0.009 eV/atom

Structure (extended XYZ):
```
16
Lattice="-2.507 -4.410 -1.195 8.989 -5.587 1.767 -1.939 -0.846 7.191" Properties=species:S:1:pos:R:3 pbc="T T T"
Bi 0.551 -6.477 1.310
Bi 3.024 -6.071 5.991
Bi -0.501 -2.855 1.512
Bi 5.030 -9.277 2.248
Bi 4.075 -9.694 5.789
Bi -1.456 -3.271 5.053
Bi -0.434 -6.906 4.960
Bi 4.008 -5.642 2.341
Zr -2.267 -5.246 2.678
Zr 2.317 -4.086 0.144
Zr 5.842 -7.302 4.623
Zr 3.197 -7.617 -0.034
Pa 1.227 -4.434 3.716
Pa 2.348 -8.114 3.585
Pa 6.691 -6.804 1.004
Pa -3.116 -5.744 6.297
```

(20)
Density functional theory data (PBE-GGA) for a geometry-optimized Zr2PaBi structure.

Results
SG = Fm-3m (225)
Calculated formation energy = 0.019 eV/atom
Relative energy among the computed polymorphs = 0.162 eV/atom

Structure (extended XYZ):
```
4
Lattice="-2.628 -3.748 -2.300 2.156 -4.597 -0.677 -1.636 -4.022 2.719" Properties=species:S:1:pos:R:3 pbc="T T T"
Zr -1.581 -9.275 -0.195
Zr -0.527 -3.092 -0.064
Pa -1.054 -6.183 -0.129
Bi 0.000 0.000 0.000
```

(21)
Density functional theory data (PBE-GGA) for a geometry-optimized ZrPaBi3 structure.

Results
SG = Cmcm (63)
Calculated formation energy = -0.081 eV/atom

Structure (extended XYZ):
```
10
Lattice="-4.342 -3.072 -2.733 -2.930 -0.947 5.719 -1.704 7.850 0.427" Properties=species:S:1:pos:R:3 pbc="T T T"
Bi -6.163 2.090 0.901
Bi -2.813 1.741 2.511
Bi -4.004 5.094 0.636
Bi -1.367 2.208 -0.310
Bi -4.972 -1.262 2.776
Bi -7.609 1.623 3.723
Zr -0.751 -0.207 1.425
Zr -8.225 4.038 1.987
Pa -5.026 3.899 3.603
Pa -3.950 -0.067 -0.191
```

(22)
Density functional theory data (PBE-GGA) for a geometry-optimized ZrPaBi2 structure.

Results
SG = P4/mmm (123)
Calculated formation energy = -0.180 eV/atom
Relative energy among the computed polymorphs = 0.014 eV/atom

Structure (extended XYZ):
```
4
Lattice="-1.440 1.192 -3.328 3.584 -2.832 -2.566 -3.271 -4.093 -0.051" Properties=species:S:1:pos:R:3 pbc="T T T"
Bi 1.792 -1.416 -1.283
Bi -1.635 -2.046 -0.025
Zr -0.720 0.596 -1.664
Pa -0.564 -2.866 -2.972
```